A relaxed Pm4Ru2O crystal, computed with PBE.

a b c (Å): 4.7147 4.7147 14.5534
angles (deg): 90.00 90.00 90.00
Space group I4/mmm (No. 139)
One atom of each set of equivalent atoms:
Pm 0.0000 0.0000 0.1883 (multiplicity 4)
Pm 0.0000 0.5000 0.0000 (multiplicity 4)
Ru 0.0000 0.0000 0.3722 (multiplicity 4)
O 0.0000 0.0000 0.0000 (multiplicity 2)

total magnetic moment	0.00	μB/cell
ΔE_f (raw)	-0.809	eV/atom

A relaxed Pm6RuO12 crystal, computed with PBE.

a b c (Å): 10.0927 10.0927 9.6948
angles (deg): 90.00 90.00 120.00
Space group R-3 (No. 148, hexagonal axes)
One atom of each set of equivalent atoms:
Pm 0.0460 0.7889 0.1451 (multiplicity 18)
Ru 0.0000 0.0000 0.5000 (multiplicity 3)
O 0.0365 0.8110 0.9029 (multiplicity 18)
O 0.0404 0.8580 0.3912 (multiplicity 18)

total magnetic moment	5.97	μB/cell
ΔE_f (raw)	-2.885	eV/atom

A relaxed PmRuO5 crystal, computed with PBE.

a b c (Å): 7.7194 7.7194 4.3707
angles (deg): 90.00 90.00 90.00
Space group P4/nmm (No. 129, origin choice 2)
One atom of each set of equivalent atoms:
Pm 0.2500 0.2500 0.2502 (multiplicity 2)
Ru 0.2500 0.7500 0.0000 (multiplicity 2)
O 0.0643 0.7500 0.7657 (multiplicity 8)
O 0.2500 0.2500 0.7478 (multiplicity 2)

total magnetic moment	2.61	μB/cell
ΔE_f (raw)	-1.520	eV/atom

A relaxed Pm3RuO6 crystal, computed with PBE.

a b c (Å): 10.0587 10.0587 9.8713
angles (deg): 90.00 90.00 120.00
Space group R-3 (No. 148, hexagonal axes)
One atom of each set of equivalent atoms:
Pm 0.0480 0.7808 0.1676 (multiplicity 18)
Ru 0.0000 0.0000 0.0000 (multiplicity 3)
Ru 0.0000 0.0000 0.5000 (multiplicity 3)
O 0.0331 0.8258 0.9065 (multiplicity 18)
O 0.0424 0.8456 0.3966 (multiplicity 18)

total magnetic moment	6.00	μB/cell
ΔE_f (raw)	-2.734	eV/atom

The highest ΔE_f (raw) belongs to which entry?
Pm4Ru2O